A geometry-optimized Na2ScCo3F12 structure, computed with PBE+U.

DFT total energy (eV/f.u.): -93.6
Density of states at the Fermi level (states/eV/atom): 0.308

a = 7.3815 Å, b = 7.3815 Å, c = 18.7755 Å
α = 90.00°, β = 90.00°, γ = 120.00°
Space group R-3m (No. 166, hexagonal axes)
Inequivalent atoms, fractional coordinates:
Na  0.0000  0.0000  0.2114
Sc  0.0000  0.0000  0.5000
Co  0.0000  0.5000  0.0000
F  0.0675  0.5338  0.1066
F  0.0857  0.5428  0.3599